i:
# RbIrSO | OQMD | GGA-PBE | optimized geometry
# total moment: 0.0 μB/cell
# V: 399 Å³ per cell
data_RbIrSO
_symmetry_space_group_name_H-M 'P 1'
_symmetry_Int_Tables_number 1
_cell_length_a 5.9325
_cell_length_b 6.5440
_cell_length_c 10.5995
_cell_angle_alpha 75.92
_cell_angle_beta 90.00
_cell_angle_gamma 90.00
loop_
_symmetry_equiv_pos_as_xyz
'x,y,z'
loop_
_atom_site_label
_atom_site_type_symbol
_atom_site_fract_x
_atom_site_fract_y
_atom_site_fract_z
_atom_site_occupancy
Ir1 Ir 0.2620 0.5022 0.0375 1
Ir2 Ir 0.7279 0.3261 0.2098 1
Ir3 Ir 0.2279 0.6739 0.7902 1
Ir4 Ir 0.7620 0.4978 0.9625 1
O1 O 0.5280 0.2800 0.0476 1
O2 O 0.9928 0.3042 0.0762 1
O3 O 0.4928 0.6958 0.9238 1
O4 O 0.0280 0.7200 0.9524 1
Rb1 Rb 0.7281 0.8815 0.1126 1
Rb2 Rb 0.0055 0.7785 0.4476 1
Rb3 Rb 0.5055 0.2215 0.5524 1
Rb4 Rb 0.2281 0.1185 0.8874 1
S1 S 0.3943 0.4634 0.2438 1
S2 S 0.9616 0.3163 0.3768 1
S3 S 0.4616 0.6837 0.6232 1
S4 S 0.8943 0.5366 0.7562 1


ii:
# RbIrSO | OQMD | GGA-PBE | optimized geometry
# total moment: 0.0 μB/cell
# V: 336 Å³ per cell
data_RbIrSO
_symmetry_space_group_name_H-M 'P 1'
_symmetry_Int_Tables_number 1
_cell_length_a 6.9036
_cell_length_b 5.4104
_cell_length_c 9.3834
_cell_angle_alpha 90.00
_cell_angle_beta 106.50
_cell_angle_gamma 90.00
loop_
_symmetry_equiv_pos_as_xyz
'x,y,z'
loop_
_atom_site_label
_atom_site_type_symbol
_atom_site_fract_x
_atom_site_fract_y
_atom_site_fract_z
_atom_site_occupancy
Ir1 Ir 0.4651 0.1102 0.2095 1
Ir2 Ir 0.5349 0.6102 0.2905 1
Ir3 Ir 0.4651 0.3898 0.7095 1
Ir4 Ir 0.5349 0.8898 0.7905 1
O1 O 0.7423 0.8176 0.0066 1
O2 O 0.2577 0.3176 0.4934 1
O3 O 0.7423 0.6824 0.5066 1
O4 O 0.2577 0.1824 0.9934 1
Rb1 Rb 0.8432 0.3221 0.0540 1
Rb2 Rb 0.1568 0.8221 0.4460 1
Rb3 Rb 0.8432 0.1779 0.5540 1
Rb4 Rb 0.1568 0.6779 0.9460 1
S1 S 0.7066 0.8610 0.1735 1
S2 S 0.2934 0.3610 0.3265 1
S3 S 0.7066 0.6390 0.6735 1
S4 S 0.2934 0.1390 0.8265 1


Which of them is least stable? Easy: ii.


i:
# RbIrSeO | OQMD | GGA-PBE | optimized geometry
# total moment: 0.0 μB/cell
# V: 147 Å³ per cell
data_RbIrSeO
_symmetry_space_group_name_H-M 'P 1'
_symmetry_Int_Tables_number 1
_cell_length_a 4.0793
_cell_length_b 4.0793
_cell_length_c 8.8336
_cell_angle_alpha 90.00
_cell_angle_beta 90.00
_cell_angle_gamma 90.00
loop_
_symmetry_equiv_pos_as_xyz
'x,y,z'
loop_
_atom_site_label
_atom_site_type_symbol
_atom_site_fract_x
_atom_site_fract_y
_atom_site_fract_z
_atom_site_occupancy
Ir1 Ir 0.2500 0.2500 0.1074 1
Ir2 Ir 0.7500 0.7500 0.8926 1
O1 O 0.7500 0.2500 0.0000 1
O2 O 0.2500 0.7500 0.0000 1
Rb1 Rb 0.7500 0.2500 0.5000 1
Rb2 Rb 0.2500 0.7500 0.5000 1
Se1 Se 0.7500 0.7500 0.2193 1
Se2 Se 0.2500 0.2500 0.7807 1


ii:
# RbIrSeO | OQMD | GGA-PBE | optimized geometry
# total moment: 0.0 μB/cell
# V: 215 Å³ per cell
data_RbIrSeO
_symmetry_space_group_name_H-M 'P 1'
_symmetry_Int_Tables_number 1
_cell_length_a 4.3662
_cell_length_b 7.0945
_cell_length_c 6.9369
_cell_angle_alpha 90.00
_cell_angle_beta 90.00
_cell_angle_gamma 90.00
loop_
_symmetry_equiv_pos_as_xyz
'x,y,z'
loop_
_atom_site_label
_atom_site_type_symbol
_atom_site_fract_x
_atom_site_fract_y
_atom_site_fract_z
_atom_site_occupancy
Ir1 Ir 0.5000 0.9381 0.0260 1
Ir2 Ir 0.5000 0.0619 0.5260 1
O1 O 0.5000 0.0975 0.2496 1
O2 O 0.5000 0.9025 0.7497 1
Rb1 Rb 0.0000 0.3136 0.1172 1
Rb2 Rb 0.0000 0.6864 0.6172 1
Se1 Se 0.0000 0.7997 0.0981 1
Se2 Se 0.0000 0.2003 0.5981 1


iii:
# RbIrSeO | OQMD | GGA-PBE | optimized geometry
# total moment: 0.0 μB/cell
# V: 417 Å³ per cell
data_RbIrSeO
_symmetry_space_group_name_H-M 'P 1'
_symmetry_Int_Tables_number 1
_cell_length_a 5.9977
_cell_length_b 6.5460
_cell_length_c 10.7724
_cell_angle_alpha 80.08
_cell_angle_beta 90.00
_cell_angle_gamma 89.99
loop_
_symmetry_equiv_pos_as_xyz
'x,y,z'
loop_
_atom_site_label
_atom_site_type_symbol
_atom_site_fract_x
_atom_site_fract_y
_atom_site_fract_z
_atom_site_occupancy
Ir1 Ir 0.7572 0.5080 0.0343 1
Ir2 Ir 0.2287 0.3476 0.2051 1
Ir3 Ir 0.7287 0.6523 0.7949 1
Ir4 Ir 0.2573 0.4920 0.9657 1
O1 O 0.0259 0.2903 0.0518 1
O2 O 0.4886 0.3147 0.0740 1
O3 O 0.9887 0.6853 0.9260 1
O4 O 0.5258 0.7097 0.9482 1
Rb1 Rb 0.2541 0.9004 0.1047 1
Rb2 Rb 0.4864 0.8016 0.4639 1
Rb3 Rb 0.9863 0.1985 0.5361 1
Rb4 Rb 0.7542 0.0996 0.8954 1
Se1 Se 0.8829 0.5006 0.2478 1
Se2 Se 0.4760 0.3410 0.3782 1
Se3 Se 0.9761 0.6590 0.6218 1
Se4 Se 0.3830 0.4995 0.7522 1


iv:
# RbIrSeO | OQMD | GGA-PBE | optimized geometry
# total moment: 2.8 μB/cell
# V: 437 Å³ per cell
data_RbIrSeO
_symmetry_space_group_name_H-M 'P 1'
_symmetry_Int_Tables_number 1
_cell_length_a 5.4751
_cell_length_b 6.3700
_cell_length_c 12.5653
_cell_angle_alpha 90.00
_cell_angle_beta 85.00
_cell_angle_gamma 90.00
loop_
_symmetry_equiv_pos_as_xyz
'x,y,z'
loop_
_atom_site_label
_atom_site_type_symbol
_atom_site_fract_x
_atom_site_fract_y
_atom_site_fract_z
_atom_site_occupancy
Ir1 Ir 0.3880 0.2392 0.1653 1
Ir2 Ir 0.6120 0.7392 0.3347 1
Ir3 Ir 0.3880 0.2608 0.6653 1
Ir4 Ir 0.6120 0.7608 0.8347 1
O1 O 0.2556 0.2689 0.0392 1
O2 O 0.7444 0.7689 0.4608 1
O3 O 0.2556 0.2311 0.5392 1
O4 O 0.7444 0.7311 0.9608 1
Rb1 Rb 0.1843 0.7373 0.0632 1
Rb2 Rb 0.8157 0.2374 0.4368 1
Rb3 Rb 0.1843 0.7627 0.5632 1
Rb4 Rb 0.8157 0.2626 0.9368 1
Se1 Se 0.6795 0.9867 0.1998 1
Se2 Se 0.3205 0.4867 0.3002 1
Se3 Se 0.6795 0.5133 0.6998 1
Se4 Se 0.3205 0.0133 0.8002 1


Which of them is least stable? Easy: i.